Record 1
Computed, not measured: NaTlTe2 after structural relaxation at the PBE level of DFT.

Cell and atoms, written as extended XYZ:
```
4
Lattice="0.000 3.947 3.947 3.947 0.000 3.947 3.947 3.947 0.000" Properties=species:S:1:pos:R:3 pbc="T T T"
Na 0.000 0.000 0.000
Tl 3.947 3.947 3.947
Te 1.973 1.973 1.973
Te 5.920 5.920 5.920
```

Record 2
Computed, not measured: NaTl9Te6 after structural relaxation at the PBE level of DFT.

Cell and atoms, written as extended XYZ:
```
16
Lattice="0.257 8.534 2.085 -0.707 2.099 -8.505 -6.546 -5.254 3.788" Properties=species:S:1:pos:R:3 pbc="T T T"
Na 0.000 0.000 0.000
Tl -2.593 0.151 -5.672
Tl -2.303 1.987 -2.475
Tl -2.029 5.891 0.305
Tl -1.903 2.681 2.137
Tl -4.403 5.228 3.040
Tl -4.693 3.392 -0.157
Tl -4.966 -0.512 -2.937
Tl -5.093 2.698 -4.769
Tl -0.225 5.316 -3.210
Te -0.425 7.393 -5.782
Te -0.025 3.240 -0.638
Te -0.025 7.896 -1.143
Te -0.425 2.737 -5.278
Te -3.610 5.348 -2.921
Te -3.386 0.031 0.289
```

Record 3
Computed, not measured: NaTlTe2 after structural relaxation at the PBE level of DFT.

Cell and atoms, written as extended XYZ:
```
4
Lattice="4.292 0.000 0.000 0.000 4.292 0.000 0.000 0.000 6.736" Properties=species:S:1:pos:R:3 pbc="T T T"
Na 2.146 2.146 0.000
Tl 2.146 2.146 3.368
Te 0.000 0.000 5.251
Te 0.000 0.000 1.485
```

Record 4
Computed, not measured: NaTl2Te3 after structural relaxation at the PBE level of DFT.

Cell and atoms, written as extended XYZ:
```
12
Lattice="-4.196 -4.199 6.400 1.479 -8.698 1.215 4.196 -1.518 7.708" Properties=species:S:1:pos:R:3 pbc="T T T"
Na 1.082 -10.884 11.426
Na 0.397 -3.531 3.896
Tl 3.186 -2.562 6.360
Tl 0.750 -5.554 8.753
Tl 0.730 -8.862 6.569
Tl -1.706 -11.853 8.963
Te -1.422 -1.424 2.170
Te -2.773 -2.775 4.230
Te 2.162 -5.784 5.492
Te 2.098 -0.759 3.854
Te 0.000 -2.859 7.054
Te -0.683 -8.632 9.831
```

Number 1: raw total energy -2.72 eV per atom. Number 2: raw total energy -2.92 eV per atom. Number 3: raw total energy -2.90 eV per atom. Number 4: raw total energy -2.83 eV per atom.